No. 1
The following is a GGA-PBE calculation of a geometry-optimized Li2YAl structure, from Alexandria via LeMat-Bulk.

magnetization	0.00	μB/f.u.
ΔE_f	0.020	eV per atom
electronic total energy	-3.489	eV/atom
DOS at the Fermi energy	0.47	states/eV/atom

Lattice parameters (Å, degrees): 3.563 3.563 6.561 90.00 90.00 90.00
Fractional coordinates of all 4 atoms:
Al1 0.500 0.500 0.750
Li1 0.000 0.000 0.549
Li2 0.000 0.000 0.951
Y1 0.500 0.500 0.250

No. 2
The following is a GGA-PBE calculation of a geometry-optimized LiMgBiSb structure, from Alexandria via LeMat-Bulk.

magnetization	0.00	μB/f.u.
raw formation energy	-84	kJ/mol of formula units
electronic total energy	-3.095	eV/atom
DOS at the Fermi energy	0.45	states/eV/atom

Lattice parameters (Å, degrees): 5.179 5.179 5.179 60.00 60.00 60.00
Fractional coordinates of all 4 atoms:
Li1 0.750 0.750 0.750
Bi1 0.000 0.000 0.000
Mg1 0.250 0.250 0.250
Sb1 0.500 0.500 0.500

No. 3
The following is a GGA-PBE calculation of a geometry-optimized Rb3MnAl structure, from Alexandria via LeMat-Bulk.

magnetization	4.78	μB/f.u.
ΔE_f	0.923	eV per atom
electronic total energy	-2.240	eV/atom
DOS at the Fermi energy	1.48	states/eV/atom

Lattice parameters (Å, degrees): 6.945 6.945 6.945 90.00 90.00 90.00
Fractional coordinates of all 5 atoms:
Rb1 0.500 0.000 0.000
Rb2 0.000 0.500 0.000
Rb3 0.000 0.000 0.500
Mn1 0.500 0.500 0.500
Al1 0.000 0.000 0.000

No. 4
The following is a GGA-PBE calculation of a geometry-optimized DyAgBr4 structure, from Alexandria via LeMat-Bulk.

magnetization	0.00	μB/f.u.
polymorph energy (0 for the lowest one)	0.0000	eV per atom
raw formation energy	-777	kJ/mol of formula units
electronic total energy	-3.700	eV/atom
DOS at the Fermi energy	0.00	states/eV/atom

Lattice parameters (Å, degrees): 4.144 8.087 7.374 115.07 90.00 104.85
Fractional coordinates of all 6 atoms:
Br1 0.379 0.759 0.018
Br2 0.621 0.241 0.982
Br3 0.898 0.795 0.580
Br4 0.102 0.205 0.420
Ag1 0.500 0.000 0.500
Dy1 0.000 0.000 0.000

No. 5
The following is a GGA-PBE calculation of a geometry-optimized SrZn2Si structure, from Alexandria via LeMat-Bulk.

magnetization	0.00	μB/f.u.
raw formation energy	-32	kJ/mol of formula units
electronic total energy	-2.497	eV/atom
DOS at the Fermi energy	0.50	states/eV/atom

Lattice parameters (Å, degrees): 4.151 4.138 5.619 79.81 90.00 90.00
Fractional coordinates of all 4 atoms:
Zn1 0.000 0.959 0.166
Zn2 0.500 0.331 0.210
Sr1 0.500 0.808 0.694
Si1 0.000 0.402 0.430

No. 6
The following is a GGA-PBE calculation of a geometry-optimized Er2Ge5Os3 structure, from Alexandria via LeMat-Bulk.

magnetization	0.00	μB/f.u.
ΔE_f	-0.432	eV per atom
electronic total energy	-7.022	eV/atom
DOS at the Fermi energy	0.24	states/eV/atom

Lattice parameters (Å, degrees): 5.804 8.474 8.474 71.35 69.98 69.98
Fractional coordinates of all 20 atoms:
Ge1 0.043 0.207 0.207
Ge2 0.085 0.092 0.739
Ge3 0.957 0.793 0.793
Ge4 0.750 0.500 0.500
Ge5 0.415 0.261 0.908
Ge6 0.543 0.207 0.207
Ge7 0.250 0.500 0.500
Ge8 0.457 0.793 0.793
Ge9 0.915 0.908 0.261
Ge10 0.585 0.739 0.092
Os1 0.851 0.744 0.554
Os2 0.750 0.000 0.000
Os3 0.351 0.554 0.744
Os4 0.149 0.256 0.446
Os5 0.250 0.000 0.000
Os6 0.649 0.446 0.256
Er1 0.857 0.413 0.874
Er2 0.643 0.126 0.587
Er3 0.357 0.874 0.413
Er4 0.143 0.587 0.126